A relaxed Cd2IrSe crystal. Source: Alexandria via LeMat-Bulk, functional PBE-GGA.

a b c (Å): 4.744 4.744 4.744
angles (deg): 60.00 60.00 60.00
Fractional coordinates of all 4 atoms:
Cd  0.000  0.000  0.000
Cd  0.250  0.250  0.250
Ir  0.500  0.500  0.500
Se  0.750  0.750  0.750

Formation energy (no corrections), meV/atom: 367